An optimized crystal structure of TaTeC3. Source: Alexandria, functional GGA-PBEsol.

Unit cell a=4.2096 b=4.2096 c=4.2096 alpha=90.00 beta=90.00 gamma=90.00
Fractional coordinates of all 5 atoms:
C (0.0000, 0.5000, 0.0000)
C (0.5000, 0.0000, 0.0000)
C (0.0000, 0.0000, 0.5000)
Ta (0.0000, 0.0000, 0.0000)
Te (0.5000, 0.5000, 0.5000)

## Properties
Raw total energy = -7.03 eV per atom

***

An optimized crystal structure of Mg3Cd. Source: Alexandria, functional GGA-PBEsol.

Unit cell a=4.4015 b=4.4015 c=4.4015 alpha=90.00 beta=90.00 gamma=90.00
Fractional coordinates of all 4 atoms:
Mg (0.5000, 0.0000, 0.5000)
Mg (0.0000, 0.5000, 0.5000)
Mg (0.5000, 0.5000, 0.0000)
Cd (0.0000, 0.0000, 0.0000)

## Properties
DFT formation energy = -0.070 eV/atom